A relaxed Cu5Ag3 crystal, computed with PBE-GGA.

```
Cu5Ag3
1.0
5.557 0.000 0.000
0.000 5.557 0.000
0.000 0.000 3.670
Cu Ag
5 3
direct
0.000 0.000 0.000 Cu
0.235 0.235 0.500 Cu
0.235 0.765 0.500 Cu
0.765 0.235 0.500 Cu
0.765 0.765 0.500 Cu
0.000 0.500 0.000 Ag
0.500 0.000 0.000 Ag
0.500 0.500 0.000 Ag
```

SG: P4/mmm
Total energy: -0.121 Ha/atom
ΔE to the lowest computed polymorph: 0.0456 eV per atom
Energy of formation from the pure elements: 92 meV per atom